# 1
Crystalline CaY2PdO5 at its relaxed geometry. Source: Alexandria via LeMat-Bulk, functional PBE.

Geometry as CIF:
```
data_CaY2PdO5
_chemical_formula_sum 'Ca2 Y4 Pd2 O10'
_space_group_name_H-M_alt 'P 4/m b m'
_space_group_IT_number 127
_space_group_name_Hall '-P 4 2ab'
_cell_length_a 6.479
_cell_length_b 6.479
_cell_length_c 5.822
_cell_angle_alpha 90.00
_cell_angle_beta 90.00
_cell_angle_gamma 90.00
loop_
_atom_site_label
_atom_site_fract_x
_atom_site_fract_y
_atom_site_fract_z
Ca1 0.000 0.000 0.000
Y1 0.173 0.327 0.500
Pd1 0.000 0.500 0.000
O1 0.000 0.000 0.500
O2 0.146 0.646 0.253
```

- DOS at the Fermi energy: 0.00 states/eV per atom
- Size of the total moment: 0.00 μB/cell
- DFT total energy: -136.29 eV per cell

***

# 2
Crystalline CaZnPd2O at its relaxed geometry. Source: Alexandria via LeMat-Bulk, functional PBE.

Geometry as CIF:
```
data_CaZnPd2O
_chemical_formula_sum 'Ca1 Zn1 Pd2 O1'
_space_group_name_H-M_alt 'P 4/m m m'
_space_group_IT_number 123
_space_group_name_Hall '-P 4 2'
_cell_length_a 4.414
_cell_length_b 4.414
_cell_length_c 4.347
_cell_angle_alpha 90.00
_cell_angle_beta 90.00
_cell_angle_gamma 90.00
loop_
_atom_site_label
_atom_site_fract_x
_atom_site_fract_y
_atom_site_fract_z
Ca1 0.000 0.000 0.000
Zn1 0.500 0.500 0.000
Pd1 0.000 0.500 0.500
O1 0.000 0.000 0.500
```

- DOS at the Fermi energy: 0.46 states/eV per atom
- Size of the total moment: 0.00 μB/cell
- DFT total energy: -21.72 eV per cell

***

> What is the size of the total moment in the second record?

0.00 μB/cell

***

> DFT total energy of number 1 (CaY2PdO5)?

-136.29 eV per cell